Entry 1:
Ce2CoP: optimized geometry, PBE.

Summary:
Uncorrected energy = -6.302 eV/atom
Formation enthalpy at 0 K = -0.206 eV per atom
Total moment = 0.0 Bohr magnetons per cell
DOS at the Fermi energy = 1.290 states/eV/atom

a = 3.6494 Å, b = 3.6494 Å, c = 24.4914 Å
α = 90.00°, β = 90.00°, γ = 120.00°
Space group R-3m (No. 166, hexagonal axes)
Asymmetric unit:
1 Ce 0.0000 0.0000 0.0937 (multiplicity 6)
2 Co 0.0000 0.0000 0.0000 (multiplicity 3)
3 P 0.0000 0.0000 0.5000 (multiplicity 3)

---

Entry 2:
Ho2Er7Sc3: optimized geometry, PBE.

Summary:
Uncorrected energy = -4.855 eV/atom
Formation enthalpy at 0 K = 0.152 eV per atom
Total moment = 0.6 Bohr magnetons per cell
DOS at the Fermi energy = 1.829 states/eV/atom

a = 5.617 Å, b = 36.337 Å, c = 3.500 Å
α = 90.00°, β = 90.00°, γ = 90.00°
Space group Cmmm (No. 65)
Asymmetric unit:
1 Ho 0.000 0.175 0.000 (multiplicity 4)
2 Er 0.000 0.000 0.000 (multiplicity 2)
3 Er 0.000 0.091 0.500 (multiplicity 4)
4 Er 0.000 0.272 0.000 (multiplicity 4)
5 Er 0.000 0.429 0.000 (multiplicity 4)
6 Sc 0.000 0.351 0.500 (multiplicity 4)
7 Sc 0.000 0.500 0.500 (multiplicity 2)

---

Entry 3:
LiCaHoCd: optimized geometry, PBE.

Summary:
Uncorrected energy = -2.481 eV/atom
Formation enthalpy at 0 K = -0.129 eV per atom
Total moment = 0.0 Bohr magnetons per cell
DOS at the Fermi energy = 0.860 states/eV/atom

a = 7.531 Å, b = 7.531 Å, c = 7.531 Å
α = 90.00°, β = 90.00°, γ = 90.00°
Space group F-43m (No. 216)
Asymmetric unit:
1 Li 0.000 0.000 0.000 (multiplicity 4)
2 Ca 0.250 0.250 0.250 (multiplicity 4)
3 Ho 0.250 0.250 0.750 (multiplicity 4)
4 Cd 0.000 0.000 0.500 (multiplicity 4)

---

Entry 4:
Er3PaSe4: optimized geometry, PBE.

Summary:
E_form (uncorrected) = -1.5705 eV per atom
Uncorrected energy = -6.211 eV/atom
Total moment = 2.3 Bohr magnetons per cell
DOS at the Fermi energy = 0.853 states/eV/atom

a = 3.9731 Å, b = 3.9731 Å, c = 41.0300 Å
α = 90.00°, β = 90.00°, γ = 120.00°
Space group R-3m (No. 166, hexagonal axes)
Asymmetric unit:
1 Er 0.0000 0.0000 0.0000 (multiplicity 3)
2 Er 0.0000 0.0000 0.2500 (multiplicity 6)
3 Pa 0.0000 0.0000 0.5000 (multiplicity 3)
4 Se 0.0000 0.0000 0.1229 (multiplicity 6)
5 Se 0.0000 0.0000 0.3745 (multiplicity 6)

---

Entry 5:
BaOs2: optimized geometry, PBE.

Summary:
Uncorrected energy = -5.199 eV/atom
Formation enthalpy at 0 K = 2.929 eV per atom
Excess energy over the best structure of this formula in the dataset = 2511.9 meV/atom
Total moment = 3.0 Bohr magnetons per cell
DOS at the Fermi energy = 1.291 states/eV/atom

a = 5.900 Å, b = 5.900 Å, c = 2.712 Å
α = 90.00°, β = 90.00°, γ = 90.00°
Space group P4/mmm (No. 123)
Asymmetric unit:
1 Ba 0.000 0.000 0.000 (multiplicity 1)
2 Os 0.000 0.500 0.500 (multiplicity 2)

---

Entry 6:
EuGe5: optimized geometry, PBE.

Summary:
Uncorrected energy = -5.610 eV/atom
Formation enthalpy at 0 K = -0.050 eV per atom
Total moment = 13.7 Bohr magnetons per cell
DOS at the Fermi energy = 0.544 states/eV/atom

a = 4.971 Å, b = 13.609 Å, c = 3.715 Å
α = 90.00°, β = 90.00°, γ = 90.00°
Space group Cmmm (No. 65)
Asymmetric unit:
1 Eu 0.000 0.000 0.000 (multiplicity 2)
2 Ge 0.000 0.193 0.500 (multiplicity 4)
3 Ge 0.000 0.341 0.000 (multiplicity 4)
4 Ge 0.000 0.500 0.500 (multiplicity 2)

---

Entry 7:
LaPu2USb4: optimized geometry, PBE.

Summary:
E_form (uncorrected) = -0.6465 eV per atom
Uncorrected energy = -8.318 eV/atom
Total moment = 25.8 Bohr magnetons per cell
DOS at the Fermi energy = 4.372 states/eV/atom

a = 6.319 Å, b = 6.319 Å, c = 12.631 Å
α = 90.00°, β = 90.00°, γ = 90.00°
Space group I-4m2 (No. 119)
Asymmetric unit:
1 La 0.000 0.000 0.000 (multiplicity 2)
2 Pu 0.000 0.000 0.500 (multiplicity 2)
3 Pu 0.000 0.500 0.250 (multiplicity 2)
4 U 0.000 0.500 0.750 (multiplicity 2)
5 Sb 0.000 0.000 0.255 (multiplicity 4)
6 Sb 0.000 0.500 0.503 (multiplicity 4)

---

Entry 8:
MnPt2Br: optimized geometry, PBE.

Summary:
E_form (uncorrected) = 0.1283 eV per atom
Uncorrected energy = -5.603 eV/atom
Excess energy over the best structure of this formula in the dataset = 78.4 meV/atom
Total moment = 4.2 Bohr magnetons per cell
DOS at the Fermi energy = 0.552 states/eV/atom

a = 3.185 Å, b = 3.185 Å, c = 6.938 Å
α = 90.00°, β = 90.00°, γ = 90.00°
Space group P4/mmm (No. 123)
Asymmetric unit:
1 Mn 0.000 0.000 0.000 (multiplicity 1)
2 Pt 0.500 0.500 0.201 (multiplicity 2)
3 Br 0.000 0.000 0.500 (multiplicity 1)

---

Entry 9:
Y2InPd3: optimized geometry, PBE.

Summary:
Uncorrected energy = -5.830 eV/atom
Formation enthalpy at 0 K = -0.622 eV per atom
Total moment = 0.0 Bohr magnetons per cell
DOS at the Fermi energy = 0.639 states/eV/atom

a = 4.632 Å, b = 5.528 Å, c = 10.501 Å
α = 90.00°, β = 90.00°, γ = 90.00°
Space group Immm (No. 71)
Asymmetric unit:
1 Y 0.000 0.000 0.185 (multiplicity 4)
2 In 0.000 0.000 0.500 (multiplicity 2)
3 Pd 0.000 0.500 0.135 (multiplicity 4)
4 Pd 0.000 0.500 0.500 (multiplicity 2)

---

Entry 10:
Pr7NdHo12: optimized geometry, PBE.

Summary:
Uncorrected energy = -4.033 eV/atom
Formation enthalpy at 0 K = 0.625 eV per atom
Excess energy over the best structure of this formula in the dataset = 397.4 meV/atom
Total moment = 0.0 Bohr magnetons per cell
DOS at the Fermi energy = 1.470 states/eV/atom

a = 11.336 Å, b = 11.336 Å, c = 11.336 Å
α = 90.00°, β = 90.00°, γ = 90.00°
Space group Im-3m (No. 229)
Asymmetric unit:
1 Pr 0.000 0.000 0.500 (multiplicity 6)
2 Pr 0.250 0.250 0.250 (multiplicity 8)
3 Nd 0.000 0.000 0.000 (multiplicity 2)
4 Ho 0.000 0.249 0.249 (multiplicity 24)

---

Entry 11:
AlNiHg2: optimized geometry, PBE.

Summary:
Uncorrected energy = -2.318 eV/atom
Formation enthalpy at 0 K = 0.213 eV per atom
Total moment = 0.0 Bohr magnetons per cell
DOS at the Fermi energy = 0.486 states/eV/atom

a = 8.989 Å, b = 8.989 Å, c = 4.631 Å
α = 90.00°, β = 90.00°, γ = 90.00°
Space group I-42d (No. 122)
Asymmetric unit:
1 Al 0.000 0.000 0.000 (multiplicity 4)
2 Ni 0.000 0.000 0.500 (multiplicity 4)
3 Hg 0.125 0.250 0.625 (multiplicity 8)

---

Entry 12:
SnIrRhO6: optimized geometry, PBE.

Summary:
E_form (uncorrected) = -1.0085 eV per atom
Uncorrected energy = -6.560 eV/atom
Total moment = 0.3 Bohr magnetons per cell
DOS at the Fermi energy = 0.552 states/eV/atom

a = 4.641 Å, b = 4.641 Å, c = 9.629 Å
α = 90.00°, β = 90.00°, γ = 90.00°
Space group P4_2nm (No. 102)
Asymmetric unit:
1 Sn 0.000 0.000 0.000 (multiplicity 2)
2 Ir 0.000 0.000 0.668 (multiplicity 2)
3 Rh 0.000 0.000 0.331 (multiplicity 2)
4 O 0.185 0.185 0.501 (multiplicity 4)
5 O 0.194 0.194 0.829 (multiplicity 4)
6 O 0.199 0.199 0.169 (multiplicity 4)

---

> The highest DOS at the Fermi energy belongs to which entry?

LaPu2USb4